Entry from Alexandria: a relaxed AgCl crystal (GGA-PBEsol).

a b c (Å): 3.6845 3.8382 5.7185
angles (deg): 90.00 108.79 90.00
Closest atoms and distances in Å follow each position.
Atoms (fractional coordinates):
Cl 0.6356 0.7500 0.2713  5 Ag 2.69-2.85
Cl 0.3644 0.2500 0.7287  5 Ag 2.69-2.85
Ag 0.8988 0.7500 0.7977  5 Cl 2.69-2.85, 2 Ag 2.91
Ag 0.1012 0.2500 0.2023  5 Cl 2.69-2.85, 2 Ag 2.91

Computed properties:
Uncorrected formation energy (eV per atom): -0.35
Magnetization (μB per atom): 0.000
Theoretical density (g/cm³): 6.2
Space group: Cmcm, No. 63
Crystal system: orthorhombic